# 1
## La2TaMnRh (PBE-GGA)

Data for a geometry-optimized La2TaMnRh structure.

The crystal system is tetragonal. The formation energy is 1.23 eV per atom. As for the density of states at the Fermi level: 11.04 states/eV/cell. The calculation puts the raw total energy at -6.41 eV per atom.

The space group is P4/mmm (No. 123) and the conventional cell measures 5.661, 5.661 and 4.648 Å, with angles of 90.00, 90.00 and 90.00 degrees. The inequivalent atoms are La at (0.000, 0.500, 0.000), Ta at (0.000, 0.000, 0.000), Mn at (0.500, 0.500, 0.500) and Rh at (0.000, 0.000, 0.500).



# 2
## La2MnRu (PBE-GGA)

Data for a geometry-optimized La2MnRu structure.

The crystal system is orthorhombic. The formation energy is 0.03 eV per atom. As for the density of states at the Fermi level: 6.49 states/eV/cell. The calculation puts the raw total energy at -7.04 eV per atom.

The space group is Imm2 (No. 44) and the conventional cell measures 3.569, 4.643 and 11.591 Å, with angles of 90.00, 90.00 and 90.00 degrees. The inequivalent atoms are La at (0.000, 0.000, 0.000), La at (0.000, 0.500, 0.214), Mn at (0.000, 0.500, 0.798) and Ru at (0.000, 0.000, 0.447).



# 3
## La2MnRu (PBE-GGA)

Data for a geometry-optimized La2MnRu structure.

The crystal system is monoclinic. The formation energy is 0.25 eV per atom. As for the density of states at the Fermi level: 7.27 states/eV/cell. The calculation puts the raw total energy at -6.83 eV per atom.

The space group is C2/m (No. 12) and the conventional cell measures 7.403, 3.467 and 8.208 Å, with angles of 90.00, 98.22 and 90.00 degrees. The inequivalent atoms are La at (0.249, 0.000, 0.284), Mn at (0.000, 0.500, 0.000) and Ru at (0.000, 0.000, 0.500).



# 4
## La4MnRu (PBE-GGA)

Data for a geometry-optimized La4MnRu structure.

The crystal system is cubic. The formation energy is 0.91 eV per atom. As for the density of states at the Fermi level: 36.78 states/eV/cell. The calculation puts the raw total energy at -5.45 eV per atom.

The space group is F-43m (No. 216) and the conventional cell measures 8.814, 8.814 and 8.814 Å, with angles of 90.00, 90.00 and 90.00 degrees. The inequivalent atoms are La at (0.124, 0.124, 0.376), Mn at (0.000, 0.000, 0.000) and Ru at (0.250, 0.250, 0.750).



# 5
## La2MnRu (PBE-GGA)

Data for a geometry-optimized La2MnRu structure.

The crystal system is trigonal. The formation energy is 0.01 eV per atom. As for the density of states at the Fermi level: 17.60 states/eV/cell. The calculation puts the raw total energy at -7.06 eV per atom.

The space group is R3m (No. 160, hexagonal axes) and the conventional cell measures 4.0166, 4.0166 and 23.4459 Å, with angles of 90.00, 90.00 and 120.00 degrees. The inequivalent atoms are La at (0.0000, 0.0000, 0.0000), La at (0.0000, 0.0000, 0.1781), Mn at (0.0000, 0.0000, 0.4331) and Ru at (0.0000, 0.0000, 0.7454).



# 6
## LaMnRu3 (PBE-GGA)

Data for a geometry-optimized LaMnRu3 structure.

The crystal system is cubic. The formation energy is 0.43 eV per atom. As for the density of states at the Fermi level: 5.63 states/eV/cell. The calculation puts the raw total energy at -7.95 eV per atom.

The space group is Pm-3m (No. 221) and the conventional cell measures 4.531, 4.531 and 4.531 Å, with angles of 90.00, 90.00 and 90.00 degrees. The inequivalent atoms are La at (0.000, 0.000, 0.000), Mn at (0.500, 0.500, 0.500) and Ru at (0.000, 0.500, 0.500).



# 7
## La2MnRu (PBE-GGA)

Data for a geometry-optimized La2MnRu structure.

The crystal system is orthorhombic. The formation energy is -0.02 eV per atom. As for the density of states at the Fermi level: 7.64 states/eV/cell. The calculation puts the raw total energy at -7.09 eV per atom.

The space group is Amm2 (No. 38) and the conventional cell measures 3.870, 4.415 and 11.672 Å, with angles of 90.00, 90.00 and 90.00 degrees. The inequivalent atoms are La at (0.000, 0.000, 0.000), La at (0.500, 0.000, 0.283), Mn at (0.000, 0.000, 0.696) and Ru at (0.500, 0.000, 0.559).



# 8
## LaMnRu4 (PBE-GGA)

Data for a geometry-optimized LaMnRu4 structure.

The crystal system is cubic. The formation energy is 0.24 eV per atom. As for the density of states at the Fermi level: 35.43 states/eV/cell. The calculation puts the raw total energy at -8.30 eV per atom.

The space group is F-43m (No. 216) and the conventional cell measures 7.505, 7.505 and 7.505 Å, with angles of 90.00, 90.00 and 90.00 degrees. The inequivalent atoms are La at (0.000, 0.000, 0.000), Mn at (0.250, 0.250, 0.750) and Ru at (0.124, 0.124, 0.376).



# 9
## La3MnRu (PBE-GGA)

Data for a geometry-optimized La3MnRu structure.

The crystal system is cubic. The formation energy is 0.46 eV per atom. As for the density of states at the Fermi level: 3.37 states/eV/cell. The calculation puts the raw total energy at -6.19 eV per atom.

The space group is Pm-3m (No. 221) and the conventional cell measures 5.088, 5.088 and 5.088 Å, with angles of 90.00, 90.00 and 90.00 degrees. The inequivalent atoms are La at (0.000, 0.000, 0.500), Mn at (0.000, 0.000, 0.000) and Ru at (0.500, 0.500, 0.500).



# 10
## LaMnRu3 (PBE-GGA)

Data for a geometry-optimized LaMnRu3 structure.

The crystal system is cubic. The formation energy is 1.85 eV per atom. As for the density of states at the Fermi level: 8.01 states/eV/cell. The calculation puts the raw total energy at -6.53 eV per atom.

The space group is Pm-3m (No. 221) and the conventional cell measures 4.769, 4.769 and 4.769 Å, with angles of 90.00, 90.00 and 90.00 degrees. The inequivalent atoms are La at (0.000, 0.000, 0.000), Mn at (0.500, 0.500, 0.500) and Ru at (0.000, 0.000, 0.500).



# 11
## La2MnRu (PBE-GGA)

Data for a geometry-optimized La2MnRu structure.

The crystal system is tetragonal. The formation energy is 0.16 eV per atom. As for the density of states at the Fermi level: 5.20 states/eV/cell. The calculation puts the raw total energy at -6.92 eV per atom.

The space group is P4mm (No. 99) and the conventional cell measures 3.345, 3.345 and 8.754 Å, with angles of 90.00, 90.00 and 90.00 degrees. The inequivalent atoms are La at (0.000, 0.000, 0.000), La at (0.500, 0.500, 0.395), Mn at (0.000, 0.000, 0.646) and Ru at (0.500, 0.500, 0.771).



# 12
## LaMn2Ru2 (PBE-GGA)

Data for a geometry-optimized LaMn2Ru2 structure.

The crystal system is tetragonal. The formation energy is 0.03 eV per atom. As for the density of states at the Fermi level: 8.30 states/eV/cell. The calculation puts the raw total energy at -8.33 eV per atom.

The space group is I4/mmm (No. 139) and the conventional cell measures 4.154, 4.154 and 10.709 Å, with angles of 90.00, 90.00 and 90.00 degrees. The inequivalent atoms are La at (0.000, 0.000, 0.000), Mn at (0.000, 0.500, 0.250) and Ru at (0.000, 0.000, 0.386).